[1]
Entry from Alexandria: TmThCo after structural relaxation (GGA-PBE).

a = 3.4240 Å, b = 3.4240 Å, c = 12.0815 Å
α = 90.00°, β = 90.00°, γ = 90.00°
With the nearest neighbours (Å) after each atom.
Space group I4mm (No. 107)
Asymmetric unit:
Tm1 0.0000 0.0000 0.0000 [2 per cell]  4 Co 2.97, 1 Th 3.26
Th1 0.0000 0.0000 0.2696 [2 per cell]  4 Co 2.86
Co1 0.0000 0.0000 0.6430 [2 per cell]  4 Th 2.86, 4 Tm 2.97

Properties
- ρ: 10.78 g/cm3
- Calculated formation energy: -8 kJ/mol of atoms
- Total moment: 1.2 Bohr magnetons per cell

---

[2]
Entry from Alexandria: KTi after structural relaxation (GGA-PBE).

a = 14.1825 Å, b = 14.1825 Å, c = 3.9245 Å
α = 90.00°, β = 90.00°, γ = 90.00°
With the nearest neighbours (Å) after each atom.
Space group I4/mmm (No. 139)
Asymmetric unit:
K1 0.0000 0.2890 0.0000 [8 per cell]  6 Ti 3.85-3.91, 2 K 3.92
Ti1 0.2244 0.2244 0.5000 [8 per cell]  2 Ti 2.21

Properties
- ρ: 1.46 g/cm3
- Calculated formation energy: 118 kJ/mol of atoms
- Total moment: 0.0 Bohr magnetons per cell

---

no.,ΔE to the lowest computed polymorph (eV/atom)
1,0.1756
2,0.5342